VASP calculation (PBE) on an optimized crystal structure of Gd3Er2TmTe2Pd.

abc: 3.968 8.395 8.395
angles: 119.92 90.00 90.00
Sites, in units of the cell vectors:
Gd1 0.000 0.000 0.000
Gd2 0.000 0.194 0.597
Gd3 0.000 0.597 0.194
Er1 0.500 0.597 0.842
Er2 0.500 0.842 0.597
Tm1 0.500 0.352 0.352
Te1 0.500 0.263 0.931
Te2 0.500 0.931 0.263
Pd1 0.000 0.596 0.596

Output
The space-group type is Amm2, No. 38. The value obtained for the energy is -5.17 eV per atom.